No. 1
The following is a PBE calculation of a relaxed EuLuGe2 crystal, from the Alexandria database.

Results
* V: 306.5 Å³/cell
* formation energy: -0.45 eV/atom
* crystal system: trigonal

Cell: 3.7625 3.7625 25.0008 Å, 90.00 90.00 120.00°
Space group R-3m (No. 166, hexagonal axes)
Unique sites:
Eu (0.0000, 0.0000, 0.0000) x3
Lu (0.0000, 0.0000, 0.5000) x3
Ge (0.0000, 0.0000, 0.2458) x6

No. 2
The following is a PBE calculation of a relaxed In2SiOs crystal, from the Alexandria database.

Results
* V: 145.8 Å³/cell
* crystal system: monoclinic
* formation energy from raw total energies: 0.57 eV per atom

Cell: 10.050 3.210 4.534 Å, 90.00 94.56 90.00°
Space group C2/m (No. 12)
Unique sites:
In (0.232, 0.000, 0.242) x4
Si (0.000, 0.000, 0.500) x2
Os (0.000, 0.500, 0.000) x2

Which formula does entry 2 have?
In2SiOs

What is the formula in the second record?
In2SiOs

The highest V belongs to which entry?
EuLuGe2

The lowest V belongs to which entry?
In2SiOs